[1]
Here is crystalline Pm3HoS at its relaxed geometry from the Alexandria database. Energies are from PBE-GGA.

Lattice parameters (Å, degrees): 5.446 5.446 5.446 90.00 90.00 90.00
Fractional positions:
Pm1 0.000 0.000 0.500
Pm2 0.000 0.500 0.000
Pm3 0.500 0.000 0.000
Ho1 0.500 0.500 0.500
S1 0.000 0.000 0.000

## Properties
Symmetry: Pm-3m
Formation energy without anion corrections: -667 meV per atom

***

[2]
Here is crystalline PmHo3S6 at its relaxed geometry from the Alexandria database. Energies are from PBE-GGA.

Lattice parameters (Å, degrees): 11.039 3.970 11.312 90.00 108.73 90.00
Fractional positions:
Pm1 0.047 0.250 0.193
Pm2 0.953 0.750 0.807
Ho1 0.161 0.250 0.586
Ho2 0.319 0.750 0.998
Ho3 0.438 0.250 0.332
Ho4 0.562 0.750 0.668
Ho5 0.681 0.250 0.002
Ho6 0.839 0.750 0.414
S1 0.082 0.750 0.405
S2 0.116 0.250 0.963
S3 0.195 0.750 0.749
S4 0.262 0.750 0.226
S5 0.396 0.250 0.560
S6 0.478 0.250 0.112
S7 0.522 0.750 0.888
S8 0.604 0.750 0.440
S9 0.738 0.250 0.774
S10 0.805 0.250 0.251
S11 0.884 0.750 0.037
S12 0.918 0.250 0.595

## Properties
Symmetry: P2_1/m
Formation energy without anion corrections: -2088 meV per atom

***

[3]
Here is crystalline PmHoS3 at its relaxed geometry from the Alexandria database. Energies are from PBE-GGA.

Lattice parameters (Å, degrees): 7.370 3.963 15.322 90.00 90.00 90.00
Fractional positions:
Pm1 0.143 0.250 0.202
Pm2 0.357 0.750 0.702
Pm3 0.643 0.250 0.298
Pm4 0.857 0.750 0.798
Ho1 0.231 0.750 0.457
Ho2 0.269 0.250 0.957
Ho3 0.731 0.750 0.043
Ho4 0.769 0.250 0.543
S1 0.011 0.250 0.395
S2 0.125 0.750 0.063
S3 0.149 0.250 0.784
S4 0.351 0.750 0.284
S5 0.375 0.250 0.563
S6 0.489 0.750 0.895
S7 0.511 0.250 0.105
S8 0.625 0.750 0.437
S9 0.649 0.250 0.716
S10 0.851 0.750 0.216
S11 0.875 0.250 0.937
S12 0.989 0.750 0.605

## Properties
Symmetry: Pnma
Formation energy without anion corrections: -2082 meV per atom

***

[4]
Here is crystalline PmHoS at its relaxed geometry from the Alexandria database. Energies are from PBE-GGA.

Lattice parameters (Å, degrees): 3.824 3.824 6.428 90.00 90.00 120.00
Fractional positions:
Pm1 0.000 0.000 0.000
Ho1 0.333 0.667 0.476
S1 0.667 0.333 0.726

## Properties
Symmetry: P3m1
Formation energy without anion corrections: -1261 meV per atom